Entry 1:
The following is a DFT calculation (PBE-GGA) of KAlRuC2 after structural relaxation.

Output
E_form, meV per atom: 2431.7
M_tot, μB/f.u.: 1.49
V, Å³ per atom: 16.02
E, eV/atom: -4.081

a = 3.9734 Å, b = 3.9734 Å, c = 5.0749 Å
α = 90.00°, β = 90.00°, γ = 90.00°
Positions (direct):
K 0.0000 0.0000 0.0000
Al 0.0000 0.0000 0.5000
Ru 0.5000 0.5000 0.0000
C 0.0000 0.5000 0.5000
C 0.5000 0.0000 0.5000

---

Entry 2:
The following is a DFT calculation (PBE-GGA) of NbReRu2Br after structural relaxation.

Output
M_tot, μB/f.u.: 5.15
V, Å³ per atom: 23.14
E, eV/atom: -6.495

a = 4.8386 Å, b = 4.8386 Å, c = 4.9414 Å
α = 90.00°, β = 90.00°, γ = 90.00°
Positions (direct):
Nb 0.0000 0.0000 0.0000
Re 0.0000 0.0000 0.5000
Ru 0.0000 0.5000 0.0000
Ru 0.5000 0.0000 0.0000
Br 0.5000 0.5000 0.5000

---

Entry 3:
The following is a DFT calculation (PBE-GGA) of ReAsO2F after structural relaxation.

Output
M_tot, μB/f.u.: 5.13
V, Å³ per atom: 13.86
E, eV/atom: -5.536

a = 4.1029 Å, b = 4.1029 Å, c = 4.1182 Å
α = 90.00°, β = 90.00°, γ = 90.00°
Positions (direct):
Re 0.0000 0.0000 0.0000
As 0.5000 0.5000 0.5000
O 0.0000 0.5000 0.5000
O 0.5000 0.0000 0.5000
F 0.5000 0.5000 0.0000

---

Entry 4:
The following is a DFT calculation (PBE-GGA) of Ba3Tl3Cd2 after structural relaxation.

Output
E_form, meV per atom: -356.2
M_tot, μB/f.u.: 0.00
V, Å³ per atom: 36.19
E, eV/atom: -2.193

a = 6.8093 Å, b = 6.8093 Å, c = 17.5778 Å
α = 90.00°, β = 90.00°, γ = 134.72°
Positions (direct):
Ba 0.0948 0.9052 0.6047
Ba 0.0948 0.9052 0.8953
Ba 0.3720 0.6280 0.7500
Ba 0.6280 0.3720 0.2500
Ba 0.9052 0.0948 0.1047
Ba 0.9052 0.0948 0.3953
Tl 0.3404 0.6596 0.2500
Tl 0.3844 0.6156 0.5398
Tl 0.3844 0.6156 0.9602
Tl 0.6156 0.3844 0.0398
Tl 0.6156 0.3844 0.4602
Tl 0.6596 0.3404 0.7500
Cd 0.2048 0.7952 0.1004
Cd 0.2048 0.7952 0.3996
Cd 0.7952 0.2048 0.6004
Cd 0.7952 0.2048 0.8996

---

Entry 5:
The following is a DFT calculation (PBE-GGA) of LiY2BH after structural relaxation.

Output
M_tot, μB/f.u.: 0.00
V, Å³ per atom: 18.41
E, eV/atom: -4.203

a = 4.9787 Å, b = 4.9787 Å, c = 3.7130 Å
α = 90.00°, β = 90.00°, γ = 90.00°
Positions (direct):
Li 0.0000 0.0000 0.0000
Y 0.0000 0.5000 0.0000
Y 0.5000 0.0000 0.0000
B 0.0000 0.0000 0.5000
H 0.5000 0.5000 0.5000

---

Entry 6:
The following is a DFT calculation (PBE-GGA) of CuBSe2 after structural relaxation.

Output
M_tot, μB/f.u.: 0.00
V, Å³ per atom: 20.92
E, eV/atom: -4.375

a = 8.0993 Å, b = 3.3493 Å, c = 12.3377 Å
α = 90.00°, β = 90.00°, γ = 90.00°
Positions (direct):
Cu 0.0482 0.2500 0.0710
Cu 0.4518 0.7500 0.5710
Cu 0.5482 0.2500 0.4290
Cu 0.9518 0.7500 0.9290
B 0.1558 0.2500 0.6751
B 0.3442 0.7500 0.1751
B 0.6558 0.2500 0.8249
B 0.8442 0.7500 0.3249
Se 0.0883 0.7500 0.7531
Se 0.2448 0.2500 0.5280
Se 0.2552 0.7500 0.0280
Se 0.4117 0.2500 0.2531
Se 0.5883 0.7500 0.7469
Se 0.7448 0.2500 0.9720
Se 0.7552 0.7500 0.4720
Se 0.9117 0.2500 0.2469

---

Entry 7:
The following is a DFT calculation (PBE-GGA) of K2SrOs2O7 after structural relaxation.

Output
M_tot, μB/f.u.: 0.00
V, Å³ per atom: 16.13
E, eV/atom: -6.446

a = 10.4048 Å, b = 10.4048 Å, c = 10.4048 Å
α = 158.70°, β = 35.67°, γ = 151.72°
Positions (direct):
K 0.2139 0.0000 0.2139
K 0.7861 0.0000 0.7861
Sr 0.9795 0.4795 0.5000
Os 0.3881 0.4833 0.9049
Os 0.5784 0.4833 0.0951
O 0.0175 0.0985 0.9190
O 0.1795 0.0985 0.0810
O 0.3086 0.4977 0.8110
O 0.4300 0.0232 0.4068
O 0.5231 0.5231 0.0000
O 0.6163 0.0232 0.5932
O 0.6867 0.4977 0.1890

---

Entry 8:
The following is a DFT calculation (PBE-GGA) of Bi6Pd2Pt after structural relaxation.

Output
E above lowest polymorph, eV per atom: 0.010
E_form, meV per atom: -177.6
M_tot, μB/f.u.: 0.00
V, Å³ per atom: 26.15
E, eV/atom: -4.590

a = 7.3287 Å, b = 6.7225 Å, c = 11.9606 Å
α = 90.00°, β = 127.00°, γ = 90.00°
Positions (direct):
Bi 0.0864 0.0302 0.2302
Bi 0.0864 0.4698 0.7302
Bi 0.2124 0.1723 0.5576
Bi 0.2124 0.3277 0.0576
Bi 0.4064 0.6562 0.5909
Bi 0.4064 0.8438 0.0909
Bi 0.5936 0.1562 0.9091
Bi 0.5936 0.3438 0.4091
Bi 0.7876 0.6723 0.9424
Bi 0.7876 0.8277 0.4424
Bi 0.9136 0.5302 0.2698
Bi 0.9136 0.9698 0.7698
Pd 0.2516 0.6474 0.2365
Pd 0.2516 0.8526 0.7365
Pd 0.7484 0.1474 0.2635
Pd 0.7484 0.3526 0.7635
Pt 0.5000 0.0000 0.5000
Pt 0.5000 0.5000 0.0000

---

Entry 9:
The following is a DFT calculation (PBE-GGA) of Dy8SbC4 after structural relaxation.

Output
E above lowest polymorph, eV per atom: 0.125
M_tot, μB/f.u.: 0.00
V, Å³ per atom: 24.51
E, eV/atom: -6.216

a = 7.6668 Å, b = 7.6668 Å, c = 7.6668 Å
α = 60.00°, β = 60.00°, γ = 60.00°
Positions (direct):
Dy 0.0799 0.6400 0.6400
Dy 0.1018 0.1018 0.1018
Dy 0.1018 0.1018 0.6947
Dy 0.1018 0.6947 0.1018
Dy 0.6400 0.0799 0.6400
Dy 0.6400 0.6400 0.0799
Dy 0.6400 0.6400 0.6400
Dy 0.6947 0.1018 0.1018
Sb 0.2500 0.2500 0.2500
C 0.3864 0.8712 0.8712
C 0.8712 0.3864 0.8712
C 0.8712 0.8712 0.3864
C 0.8712 0.8712 0.8712

---

Entry 10:
The following is a DFT calculation (PBE-GGA) of La2In5Pd3 after structural relaxation.

Output
E above lowest polymorph, eV per atom: 0.000
E_form, meV per atom: -665.1
M_tot, μB/f.u.: 0.00
V, Å³ per atom: 23.30
E, eV/atom: -4.578

a = 13.6913 Å, b = 13.6913 Å, c = 7.4519 Å
α = 90.00°, β = 90.00°, γ = 160.51°
Positions (direct):
La 0.0236 0.9764 0.5000
La 0.3252 0.6748 0.5756
La 0.6748 0.3252 0.0756
La 0.9764 0.0236 0.0000
In 0.0986 0.9014 0.8764
In 0.2063 0.7937 0.3809
In 0.2091 0.7909 0.7839
In 0.3745 0.6255 0.0278
In 0.4477 0.5523 0.6683
In 0.5523 0.4477 0.1683
In 0.6255 0.3745 0.5278
In 0.7909 0.2091 0.2839
In 0.7937 0.2063 0.8809
In 0.9014 0.0986 0.3764
Pd 0.1085 0.8915 0.2594
Pd 0.2717 0.7283 0.0849
Pd 0.4528 0.5472 0.2845
Pd 0.5472 0.4528 0.7845
Pd 0.7283 0.2717 0.5849
Pd 0.8915 0.1085 0.7594

---

Entry 11:
The following is a DFT calculation (PBE-GGA) of La12Pr5Ho after structural relaxation.

Output
E_form, meV per atom: 10.5
M_tot, μB/f.u.: 0.00
V, Å³ per atom: 36.18
E, eV/atom: -4.856

a = 11.1055 Å, b = 5.2704 Å, c = 11.1254 Å
α = 90.00°, β = 90.18°, γ = 90.00°
Positions (direct):
La 0.0002 0.0000 0.1690
La 0.9998 0.0000 0.8310
La 0.1654 0.5000 0.6652
La 0.1664 0.5000 0.9994
La 0.3313 0.0000 0.4997
La 0.3322 0.0000 0.8320
La 0.4993 0.5000 0.6665
La 0.5007 0.5000 0.3335
La 0.6678 0.0000 0.1680
La 0.6687 0.0000 0.5003
La 0.8336 0.5000 0.0006
La 0.8346 0.5000 0.3348
Pr 0.1656 0.5000 0.3343
Pr 0.3333 0.0000 0.1667
Pr 0.5000 0.5000 0.0000
Pr 0.6667 0.0000 0.8333
Pr 0.8344 0.5000 0.6657
Ho 0.0000 0.0000 0.5000

---

Entry 12:
The following is a DFT calculation (PBE-GGA) of Dy12ErTm6 after structural relaxation.

Output
E above lowest polymorph, eV per atom: 0.021
E_form, meV per atom: 157.2
M_tot, μB/f.u.: 0.00
V, Å³ per atom: 31.63
E, eV/atom: -4.402

a = 8.4426 Å, b = 8.4426 Å, c = 8.4426 Å
α = 88.32°, β = 88.32°, γ = 88.32°
Positions (direct):
Dy 0.0116 0.2025 0.3586
Dy 0.2025 0.3586 0.0116
Dy 0.2237 0.4582 0.5655
Dy 0.3586 0.0116 0.2025
Dy 0.4345 0.7763 0.5418
Dy 0.4582 0.5655 0.2237
Dy 0.5418 0.4345 0.7763
Dy 0.5655 0.2237 0.4582
Dy 0.6414 0.9884 0.7975
Dy 0.7763 0.5418 0.4345
Dy 0.7975 0.6414 0.9884
Dy 0.9884 0.7975 0.6414
Er 0.0000 0.0000 0.0000
Tm 0.0947 0.6939 0.2574
Tm 0.2574 0.0947 0.6939
Tm 0.3061 0.7426 0.9053
Tm 0.6939 0.2574 0.0947
Tm 0.7426 0.9053 0.3061
Tm 0.9053 0.3061 0.7426

---

Entry 13:
The following is a DFT calculation (PBE-GGA) of SrY2Mg after structural relaxation.

Output
E_form, meV per atom: 155.9
M_tot, μB/f.u.: 0.00
V, Å³ per atom: 34.14
E, eV/atom: -3.895

a = 3.6181 Å, b = 5.6161 Å, c = 6.9267 Å
α = 90.00°, β = 103.99°, γ = 90.00°
Positions (direct):
Sr 0.0000 0.0000 0.0000
Y 0.3143 0.5000 0.7199
Y 0.6857 0.5000 0.2801
Mg 0.5000 0.0000 0.5000

---

Entry 14:
The following is a DFT calculation (PBE-GGA) of Sc2TeP after structural relaxation.

Output
E above lowest polymorph, eV per atom: 0.467
M_tot, μB/f.u.: 0.00
V, Å³ per atom: 29.86
E, eV/atom: -6.229

a = 7.5513 Å, b = 7.5513 Å, c = 7.5513 Å
α = 131.15°, β = 131.15°, γ = 71.57°
Positions (direct):
Sc 0.0786 0.6250 0.9536
Sc 0.3750 0.3286 0.4536
Sc 0.6714 0.1250 0.0464
Sc 0.8750 0.9214 0.5464
Te 0.2500 0.7500 0.5000
Te 0.5000 0.5000 0.0000
P 0.0000 0.0000 0.0000
P 0.7500 0.2500 0.5000

---

Entry 15:
The following is a DFT calculation (PBE-GGA) of GdHfNiIr after structural relaxation.

Output
E_form, meV per atom: -550.2
M_tot, μB/f.u.: 7.17
V, Å³ per atom: 18.60
E, eV/atom: -10.219

a = 4.7209 Å, b = 4.7209 Å, c = 4.7209 Å
α = 60.00°, β = 60.00°, γ = 60.00°
Positions (direct):
Gd 0.0000 0.0000 0.0000
Hf 0.5000 0.5000 0.5000
Ni 0.7500 0.7500 0.7500
Ir 0.2500 0.2500 0.2500

---

Entry 16:
The following is a DFT calculation (PBE-GGA) of Pr5Co2Pb after structural relaxation.

Output
E_form, meV per atom: -185.2
M_tot, μB/f.u.: 0.00
V, Å³ per atom: 27.71
E, eV/atom: -5.412

a = 8.9977 Å, b = 8.9977 Å, c = 8.9977 Å
α = 127.63°, β = 127.63°, γ = 77.22°
Positions (direct):
Pr 0.0000 0.0000 0.0000
Pr 0.0273 0.5273 0.8176
Pr 0.2097 0.0273 0.5000
Pr 0.2903 0.7903 0.8176
Pr 0.4727 0.2903 0.5000
Pr 0.5000 0.5000 0.0000
Pr 0.5273 0.7097 0.5000
Pr 0.7097 0.2097 0.1824
Pr 0.7903 0.9727 0.5000
Pr 0.9727 0.4727 0.1824
Co 0.1381 0.3619 0.5000
Co 0.3619 0.8619 0.2237
Co 0.6381 0.1381 0.7763
Co 0.8619 0.6381 0.5000
Pb 0.2500 0.2500 0.0000
Pb 0.7500 0.7500 0.0000

---

Entry 17:
The following is a DFT calculation (PBE-GGA) of KMoP after structural relaxation.

Output
E above lowest polymorph, eV per atom: 0.492
E_form, meV per atom: 131.6
M_tot, μB/f.u.: 0.00
V, Å³ per atom: 23.08
E, eV/atom: -5.648

a = 6.6694 Å, b = 6.6694 Å, c = 6.6694 Å
α = 151.07°, β = 151.07°, γ = 41.37°
Positions (direct):
K 0.0000 0.0000 0.0000
Mo 0.2714 0.2714 0.0000
P 0.7287 0.7287 0.0000

---

Entry 18:
The following is a DFT calculation (PBE-GGA) of Pr3Dy4 after structural relaxation.

Output
E_form, meV per atom: 20.7
M_tot, μB/f.u.: 0.00
V, Å³ per atom: 33.48
E, eV/atom: -4.657

a = 6.2667 Å, b = 6.2667 Å, c = 8.0874 Å
α = 97.46°, β = 97.46°, γ = 48.19°
Positions (direct):
Pr 0.0000 0.0000 0.0000
Pr 0.2865 0.2865 0.8529
Pr 0.7135 0.7135 0.1471
Dy 0.1420 0.1420 0.4300
Dy 0.4276 0.4276 0.2916
Dy 0.5724 0.5724 0.7084
Dy 0.8580 0.8580 0.5700

---

Entry 19:
The following is a DFT calculation (PBE-GGA) of TcGe3Rh after structural relaxation.

Output
E above lowest polymorph, eV per atom: 0.000
E_form, meV per atom: -213.8
M_tot, μB/f.u.: 0.00
V, Å³ per atom: 17.76
E, eV/atom: -6.528

a = 7.1367 Å, b = 7.1367 Å, c = 7.1367 Å
α = 46.97°, β = 46.97°, γ = 46.97°
Positions (direct):
Tc 0.1675 0.1675 0.1675
Tc 0.8325 0.8325 0.8325
Ge 0.1071 0.3958 0.7485
Ge 0.2515 0.8929 0.6042
Ge 0.3958 0.7485 0.1071
Ge 0.6042 0.2515 0.8929
Ge 0.7485 0.1071 0.3958
Ge 0.8929 0.6042 0.2515
Rh 0.3308 0.3308 0.3308
Rh 0.6692 0.6692 0.6692

---

Entry 20:
The following is a DFT calculation (PBE-GGA) of Tb3Er2Tc2 after structural relaxation.

Output
E_form, meV per atom: -64.4
M_tot, μB/f.u.: 0.00
V, Å³ per atom: 25.75
E, eV/atom: -6.314

a = 6.4270 Å, b = 6.4270 Å, c = 8.3955 Å
α = 111.94°, β = 111.94°, γ = 34.39°
Positions (direct):
Tb 0.0000 0.0000 0.0000
Tb 0.1243 0.1243 0.4346
Tb 0.8757 0.8757 0.5654
Er 0.3367 0.3367 0.1794
Er 0.6633 0.6633 0.8206
Tc 0.3195 0.3195 0.7860
Tc 0.6805 0.6805 0.2140

---

Entry 21:
The following is a DFT calculation (PBE-GGA) of LiPuHfOs after structural relaxation.

Output
E_form, meV per atom: -86.5
M_tot, μB/f.u.: 5.63
V, Å³ per atom: 18.76
E, eV/atom: -9.444

a = 4.7345 Å, b = 4.7345 Å, c = 4.7345 Å
α = 60.00°, β = 60.00°, γ = 60.00°
Positions (direct):
Li 0.0000 0.0000 0.0000
Pu 0.2500 0.2500 0.2500
Hf 0.7500 0.7500 0.7500
Os 0.5000 0.5000 0.5000

---

Entry 22:
The following is a DFT calculation (PBE-GGA) of BeIO2F after structural relaxation.

Output
M_tot, μB/f.u.: 0.40
V, Å³ per atom: 14.11
E, eV/atom: -2.293

a = 4.0500 Å, b = 4.0500 Å, c = 4.3013 Å
α = 90.00°, β = 90.00°, γ = 90.00°
Positions (direct):
Be 0.0000 0.0000 0.0000
I 0.5000 0.5000 0.0000
O 0.0000 0.5000 0.5000
O 0.5000 0.0000 0.5000
F 0.5000 0.5000 0.5000

---

Entry 23:
The following is a DFT calculation (PBE-GGA) of VAs after structural relaxation.

Output
E_form, meV per atom: -208.3
M_tot, μB/f.u.: 0.00
V, Å³ per atom: 14.46
E, eV/atom: -7.092

a = 3.0696 Å, b = 3.0696 Å, c = 3.0696 Å
α = 90.00°, β = 90.00°, γ = 90.00°
Positions (direct):
V 0.0000 0.0000 0.0000
As 0.5000 0.5000 0.5000